(1)
VASP calculation (PBE-GGA) on an optimized crystal structure of Ho3PuP4.

ΔE_f: -1.49 eV/atom
space-group type: P2/c, No. 13

POSCAR file:
```
Ho3PuP4
1.0
6.888 0.000 0.000
0.000 7.975 0.000
-2.307 0.000 6.514
Ho Pu P
6 2 8
direct
0.000 0.124 0.250 Ho
0.000 0.373 0.750 Ho
0.000 0.627 0.250 Ho
0.000 0.876 0.750 Ho
0.500 0.124 0.750 Ho
0.500 0.876 0.250 Ho
0.500 0.374 0.250 Pu
0.500 0.626 0.750 Pu
0.250 0.126 0.001 P
0.250 0.874 0.501 P
0.254 0.377 0.499 P
0.254 0.623 0.999 P
0.746 0.377 0.001 P
0.746 0.623 0.501 P
0.750 0.126 0.499 P
0.750 0.874 0.999 P
```



(2)
VASP calculation (PBE-GGA) on an optimized crystal structure of NaSe3.

energy relative to the elements, uncorrected: -41 kJ/mol of formula units
space-group type: Pmm2, No. 25

POSCAR file:
```
NaSe3
1.0
3.447 0.000 0.000
0.000 3.741 0.000
0.000 0.000 8.451
Na Se
1 3
direct
0.000 0.000 0.000 Na
0.000 0.500 0.679 Se
0.500 0.000 0.597 Se
0.500 0.500 0.183 Se
```



(3)
VASP calculation (PBE-GGA) on an optimized crystal structure of KIrOs.

ΔE_f: 0.54 eV/atom
space-group type: P2_1/m, No. 11

POSCAR file:
```
KIrOs
1.0
4.435 0.000 0.000
0.000 4.239 0.000
-0.584 0.000 8.104
K Ir Os
2 2 2
direct
0.237 0.250 0.360 K
0.763 0.750 0.640 K
0.327 0.250 0.857 Ir
0.673 0.750 0.143 Ir
0.179 0.750 0.006 Os
0.821 0.250 0.994 Os
```



(4)
VASP calculation (PBE-GGA) on an optimized crystal structure of KSc2Fe.

ΔE_f: 0.84 eV/atom
space-group type: Fm-3m, No. 225

POSCAR file:
```
KSc2Fe
1.0
0.000 3.475 3.475
3.475 0.000 3.475
3.475 3.475 0.000
K Sc Fe
1 2 1
direct
0.000 0.000 0.000 K
0.250 0.250 0.250 Sc
0.750 0.750 0.750 Sc
0.500 0.500 0.500 Fe
```



no.,E above lowest polymorph (eV/atom)
1,0.000
2,0.267
3,0.071
4,0.693